Record 1
SrCu2PS4 after structural relaxation. Source: Alexandria via LeMat-Bulk, functional GGA-PBE.

```
8
Lattice="-3.956 -4.426 -1.533 1.973 -5.627 -1.106 -3.085 -2.976 4.291" Properties=species:S:1:pos:R:3 pbc="T T T"
S -2.726 -3.989 1.331
S 0.014 -6.405 1.234
S -4.045 -8.147 2.138
S -3.379 -7.517 -1.399
Cu -3.402 -6.060 1.752
Cu -1.666 -6.970 -0.100
P -0.556 -4.302 1.593
Sr 0.000 0.000 0.000
```

Computed properties:
Calculated volume = 20.818 Å³ per atom
Raw total energy = -36.2 eV per cell
Symmetry = I222, No. 23

***

Record 2
Be2TlIr2 after structural relaxation. Source: Alexandria via LeMat-Bulk, functional GGA-PBE.

```
10
Lattice="6.957 0.000 0.000 0.000 6.957 0.000 0.000 0.000 2.904" Properties=species:S:1:pos:R:3 pbc="T T T"
Be 0.948 4.426 1.452
Be 4.426 6.010 1.452
Be 2.531 0.948 1.452
Be 6.010 2.531 1.452
Tl 3.479 3.479 0.000
Tl 0.000 0.000 0.000
Ir 4.485 1.007 0.000
Ir 1.007 2.472 0.000
Ir 2.472 5.951 0.000
Ir 5.951 4.485 0.000
```

Computed properties:
Calculated volume = 14.057 Å³ per atom
Raw total energy = -55.1 eV per cell
Symmetry = P4/mbm, No. 127
Energy above the lowest structure with this stoichiometry = 48 meV/atom
Formation energy from the elements = -2 meV per atom

***

Record 3
CrAgCl2 after structural relaxation. Source: Alexandria via LeMat-Bulk, functional GGA-PBE.

```
4
Lattice="6.832 0.090 -0.165 6.040 3.195 -0.165 2.039 0.521 4.673" Properties=species:S:1:pos:R:3 pbc="T T T"
Ag 3.728 0.952 1.086
Cl 6.257 1.597 2.720
Cl 3.238 0.826 4.125
Cr 11.183 2.855 3.258
```

Computed properties:
Calculated volume = 25.146 Å³ per atom
Raw total energy = -17.7 eV per cell
Symmetry = C2/m, No. 12
Energy above the lowest structure with this stoichiometry = 0 meV/atom

***

Record 4
CsKNa after structural relaxation. Source: Alexandria via LeMat-Bulk, functional GGA-PBE.

```
3
Lattice="5.109 0.000 0.000 0.000 5.109 0.000 -2.555 -2.555 8.199" Properties=species:S:1:pos:R:3 pbc="T T T"
Na 2.555 2.555 7.094
K 0.000 0.000 5.144
Cs 2.555 2.555 1.699
```

Computed properties:
Calculated volume = 71.335 Å³ per atom
Raw total energy = -3.2 eV per cell
Symmetry = I4mm, No. 107
Energy above the lowest structure with this stoichiometry = 10 meV/atom
Formation energy from the elements = 25 meV per atom

***

Record 5
CrGeTeRu after structural relaxation. Source: Alexandria via LeMat-Bulk, functional GGA-PBE.

```
4
Lattice="-2.743 0.537 1.481 -2.141 -2.207 -3.165 0.506 -3.826 2.326" Properties=species:S:1:pos:R:3 pbc="T T T"
Te 0.000 0.000 0.000
Ge -0.818 -3.017 -0.420
Cr -2.442 -0.835 -0.842
Ru -1.119 -1.644 1.903
```

Computed properties:
Calculated volume = 15.727 Å³ per atom
Raw total energy = -25.7 eV per cell
Symmetry = Pmmm, No. 47
Energy above the lowest structure with this stoichiometry = 228 meV/atom

***

Record 6
Cd2HgMo after structural relaxation. Source: Alexandria via LeMat-Bulk, functional GGA-PBE.

```
8
Lattice="-1.244 7.677 0.706 -7.604 -1.340 1.169 -3.953 2.983 3.793" Properties=species:S:1:pos:R:3 pbc="T T T"
Cd -6.305 4.609 3.551
Cd -5.900 0.890 1.769
Cd -10.685 7.786 4.482
Cd -2.713 5.354 1.533
Mo -7.991 2.406 2.950
Mo -4.424 3.169 0.937
Hg -4.811 6.914 2.718
Hg 0.000 0.000 0.000
```

Computed properties:
Calculated volume = 22.110 Å³ per atom
Raw total energy = -20.1 eV per cell
Symmetry = I-42d, No. 122
Formation energy from the elements = 733 meV per atom

***

Record 7
Ca3Mg9Pd2 after structural relaxation. Source: Alexandria via LeMat-Bulk, functional GGA-PBE.

```
14
Lattice="-0.564 4.808 0.520 -8.010 1.170 3.288 2.208 1.831 8.253" Properties=species:S:1:pos:R:3 pbc="T T T"
Pd -1.482 4.015 6.858
Pd -4.885 3.795 5.204
Mg -7.593 3.423 5.700
Mg -4.481 1.583 3.299
Mg -0.005 1.872 5.474
Mg -0.172 3.904 9.305
Mg -6.194 3.906 2.757
Mg -1.885 6.227 8.763
Mg -2.901 1.501 5.771
Mg 1.226 4.386 6.362
Mg -6.361 5.937 6.588
Ca -2.165 4.256 3.889
Ca 0.000 0.000 0.000
Ca -4.201 3.553 8.174
```

Computed properties:
Calculated volume = 24.412 Å³ per atom
Raw total energy = -33.8 eV per cell
Symmetry = Immm, No. 71
Formation energy from the elements = -222 meV per atom

***

Record 8
Cd2HgS2 after structural relaxation. Source: Alexandria via LeMat-Bulk, functional GGA-PBE.

```
5
Lattice="4.557 0.000 0.000 0.000 4.557 0.000 2.278 2.278 6.921" Properties=species:S:1:pos:R:3 pbc="T T T"
Hg 0.000 0.000 0.000
S 4.557 4.557 4.784
S 2.278 2.278 2.138
Cd 2.278 4.557 3.461
Cd 4.557 2.278 3.461
```

Computed properties:
Calculated volume = 28.743 Å³ per atom
Raw total energy = -11.9 eV per cell
Symmetry = I4/mmm, No. 139
Energy above the lowest structure with this stoichiometry = 0 meV/atom

***

Record 9
Ho2PaTc2 after structural relaxation. Source: Alexandria via LeMat-Bulk, functional GGA-PBE.

```
10
Lattice="5.708 0.115 0.929 2.609 5.078 0.929 0.091 0.057 8.042" Properties=species:S:1:pos:R:3 pbc="T T T"
Ho 3.298 1.192 1.841
Ho 2.565 2.468 5.862
Ho 5.843 2.781 4.037
Ho 5.109 4.057 8.058
Tc 6.467 1.510 9.105
Tc 4.151 5.119 5.084
Tc 4.257 0.130 4.816
Tc 1.940 3.739 0.795
Pa 5.398 0.761 6.960
Pa 3.009 4.487 2.939
```

Computed properties:
Calculated volume = 23.007 Å³ per atom
Raw total energy = -81.4 eV per cell
Symmetry = C2/c, No. 15
Formation energy from the elements = -259 meV per atom

***

Record 10
CrRhBr2 after structural relaxation. Source: Alexandria via LeMat-Bulk, functional GGA-PBE.

```
4
Lattice="-6.546 -3.056 2.687 -2.705 -4.162 5.897 3.941 5.813 -3.177" Properties=species:S:1:pos:R:3 pbc="T T T"
Br -0.087 -0.068 0.081
Br -3.739 -0.523 2.016
Cr -3.994 -3.116 3.705
Rh -2.116 -1.307 3.897
```

Computed properties:
Calculated volume = 23.726 Å³ per atom
Raw total energy = -19.7 eV per cell
Symmetry = Imm2, No. 44
Energy above the lowest structure with this stoichiometry = 224 meV/atom

***

Record 11
Ba2SrLaO after structural relaxation. Source: Alexandria via LeMat-Bulk, functional GGA-PBE.

```
5
Lattice="-6.556 1.021 0.636 -1.076 -6.553 -0.565 0.373 -0.455 4.575" Properties=species:S:1:pos:R:3 pbc="T T T"
O 0.000 0.000 0.000
Ba -0.538 -3.277 -0.282
Ba -3.278 0.511 0.318
Sr -3.629 -2.994 2.323
La 0.187 -0.228 2.287
```

Computed properties:
Calculated volume = 40.982 Å³ per atom
Raw total energy = -20.2 eV per cell
Symmetry = P4/mmm, No. 123

***

Record 12
GaSnAu after structural relaxation. Source: Alexandria via LeMat-Bulk, functional GGA-PBE.

```
6
Lattice="5.020 -0.027 -0.162 -0.285 6.922 0.023 -1.354 1.150 3.896" Properties=species:S:1:pos:R:3 pbc="T T T"
Au 1.252 0.890 0.786
Au -0.143 5.219 1.554
Ga 3.840 0.765 2.119
Ga -1.311 4.304 3.741
Sn 2.437 5.433 -0.057
Sn 1.427 3.069 2.597
```

Computed properties:
Calculated volume = 22.292 Å³ per atom
Raw total energy = -21.3 eV per cell
Symmetry = P1, No. 1
Formation energy from the elements = -114 meV per atom

***

Record 13
Pm4SmTl after structural relaxation. Source: Alexandria via LeMat-Bulk, functional GGA-PBE.

```
6
Lattice="-3.327 -1.416 0.641 1.547 -3.163 1.043 0.596 4.826 13.759" Properties=species:S:1:pos:R:3 pbc="T T T"
Sm 0.000 0.000 0.000
Tl -0.592 0.124 7.721
Pm 0.386 3.125 8.907
Pm -0.785 -1.439 3.265
Pm 0.210 1.702 4.851
Pm -0.399 1.687 12.177
```

Computed properties:
Calculated volume = 32.795 Å³ per atom
Raw total energy = -26.7 eV per cell
Symmetry = P4/mmm, No. 123
Energy above the lowest structure with this stoichiometry = 0 meV/atom
Formation energy from the elements = -105 meV per atom